Material: Mg2Ga5Ru3
Method: DFT, PBE
State: optimized geometry

Properties
* V: 317.2 Å³ per cell
* total magnetization: 0.000 μB per atom
* DFT formation energy: -0.28 eV per atom

a b c (Å): 5.6337 7.6961 7.6961
angles (deg): 105.44 95.73 95.73
Last column: nearest neighbours and their distance in Å.
Fractional coordinates of all 20 atoms:
Mg  0.8897  0.6072  0.1497  4 Ga 2.73-2.98, 4 Ru 2.84-3.04, 2 Mg 2.92-2.96
Mg  0.3897  0.1497  0.6072  4 Ga 2.73-2.98, 4 Ru 2.84-3.04, 2 Mg 2.92-2.96
Mg  0.1103  0.3928  0.8503  4 Ga 2.73-2.98, 4 Ru 2.84-3.04, 2 Mg 2.92-2.96
Mg  0.6103  0.8503  0.3928  4 Ga 2.73-2.98, 4 Ru 2.84-3.04, 2 Mg 2.92-2.96
Ga  0.5991  0.2680  0.9615  4 Ru 2.49-2.65, 1 Ga 2.61, 1 Mg 2.73
Ga  0.0991  0.9615  0.2680  4 Ru 2.49-2.65, 1 Ga 2.61, 1 Mg 2.73
Ga  0.4009  0.7320  0.0385  4 Ru 2.49-2.65, 1 Ga 2.61, 1 Mg 2.73
Ga  0.9009  0.0385  0.7320  4 Ru 2.49-2.65, 1 Ga 2.61, 1 Mg 2.73
Ga  0.9673  0.7359  0.8101  4 Ru 2.50-2.69, 2 Ga 2.61-2.72
Ga  0.0327  0.2641  0.1899  4 Ru 2.50-2.69, 2 Ga 2.61-2.72
Ga  0.7500  0.5176  0.4824  4 Ru 2.63-2.77, 4 Ga 2.72-2.85
Ga  0.2500  0.4824  0.5176  4 Ru 2.63-2.77, 4 Ga 2.72-2.85
Ga  0.5327  0.1899  0.2641  4 Ru 2.50-2.69, 2 Ga 2.61-2.72
Ga  0.4673  0.8101  0.7359  4 Ru 2.50-2.69, 2 Ga 2.61-2.72
Ru  0.6138  0.5068  0.7972  6 Ga 2.49-2.77
Ru  0.1138  0.7972  0.5068  6 Ga 2.49-2.77
Ru  0.3862  0.4932  0.2028  6 Ga 2.49-2.77
Ru  0.8862  0.2028  0.4932  6 Ga 2.49-2.77
Ru  0.2500  0.0249  0.9751  8 Ga 2.55-2.63
Ru  0.7500  0.9751  0.0249  8 Ga 2.55-2.63



Material: K2ZnCd3In4
Method: DFT, PBE
State: optimized geometry

Properties
* V: 291.5 Å³ per cell
* total magnetization: 0.000 μB per atom
* DFT formation energy: -0.07 eV per atom

a b c (Å): 4.7857 4.7857 12.7293
angles (deg): 90.00 90.00 90.00
Last column: nearest neighbours and their distance in Å.
Fractional coordinates of all 10 atoms:
K  0.5000  0.0000  0.2570  6 Cd 3.67-3.91, 8 In 3.70-4.05, 2 Zn 3.91
K  0.0000  0.5000  0.7430  6 Cd 3.67-3.91, 8 In 3.70-4.05, 2 Zn 3.91
Zn  0.5000  0.5000  0.5000  4 In 2.88
Cd  0.0000  0.0000  0.5000  4 In 2.88
Cd  0.5000  0.0000  0.8544  5 In 2.91-3.03
Cd  0.0000  0.5000  0.1456  5 In 2.91-3.03
In  0.5000  0.5000  0.0000  4 Cd 3.03, 4 In 3.38
In  0.0000  0.0000  0.0000  4 Cd 3.03, 4 In 3.38
In  0.5000  0.0000  0.6260  3 Cd 2.88-2.91, 2 Zn 2.88
In  0.0000  0.5000  0.3740  3 Cd 2.88-2.91, 2 Zn 2.88



Material: ZrTa2BiPt
Method: DFT, PBE
State: optimized geometry

Properties
* energy relative to the lowest polymorph listed for this composition: 0 meV per atom
* V: 125.8 Å³ per cell
* total magnetization: 0.000 μB per atom
* DFT formation energy: 0.64 eV per atom

a b c (Å): 4.9386 5.1562 4.9386
angles (deg): 90.00 90.00 90.00
Last column: nearest neighbours and their distance in Å.
Fractional coordinates of all 5 atoms:
Zr  0.0000  0.5000  0.0000  2 Pt 2.58
Bi  0.5000  0.5000  0.5000  4 Zr 3.49, 8 Ta 3.57
Pt  0.0000  0.0000  0.0000  4 Ta 2.47, 2 Zr 2.58
Ta  0.0000  0.0000  0.5000  2 Pt 2.47
Ta  0.5000  0.0000  0.0000  2 Pt 2.47